[1]
The following is a GGA-PBE calculation of a relaxed LiPPd3 crystal, from Alexandria via LeMat-Bulk.

a = 4.2145 Å, b = 5.3564 Å, c = 7.4153 Å
α = 90.00°, β = 90.00°, γ = 112.65°
Fractional positions:
Li 0.8408 0.6848 0.2500
Li 0.1592 0.3152 0.7500
P 0.5295 0.0537 0.2500
P 0.4705 0.9463 0.7500
Pd 0.6438 0.2833 0.9719
Pd 0.3562 0.7167 0.0281
Pd 0.6438 0.2833 0.5281
Pd 0.3562 0.7167 0.4719
Pd 0.1323 0.2628 0.2500
Pd 0.8677 0.7372 0.7500

Values from the calculation:
Formation energy in kJ/mol of atoms: -47.3
E above lowest polymorph in kJ/mol of atoms: 0.0
DFT total energy in eV per cell: -50.7

=====

[2]
The following is a GGA-PBE calculation of a relaxed Li2P6Pd21 crystal, from Alexandria via LeMat-Bulk.

a = 8.5387 Å, b = 8.5387 Å, c = 8.5387 Å
α = 60.00°, β = 60.00°, γ = 60.00°
Fractional positions:
Li 0.7500 0.7500 0.7500
Li 0.2500 0.2500 0.2500
P 0.2652 0.7348 0.2652
P 0.7348 0.2652 0.2652
P 0.7348 0.7348 0.2652
P 0.7348 0.2652 0.7348
P 0.2652 0.7348 0.7348
P 0.2652 0.2652 0.7348
Pd 0.0000 0.0000 0.0000
Pd 0.6175 0.6175 0.1474
Pd 0.6175 0.6175 0.6175
Pd 0.6175 0.1474 0.6175
Pd 0.1474 0.6175 0.6175
Pd 0.3825 0.3825 0.8526
Pd 0.3825 0.3825 0.3825
Pd 0.3825 0.8526 0.3825
Pd 0.8526 0.3825 0.3825
Pd 0.6570 0.0000 0.3430
Pd 0.0000 0.6570 0.3430
Pd 0.0000 0.0000 0.3430
Pd 0.0000 0.6570 0.0000
Pd 0.6570 0.0000 0.0000
Pd 0.0000 0.0000 0.6570
Pd 0.0000 0.3430 0.0000
Pd 0.0000 0.3430 0.6570
Pd 0.6570 0.3430 0.0000
Pd 0.3430 0.0000 0.6570
Pd 0.3430 0.0000 0.0000
Pd 0.3430 0.6570 0.0000

Values from the calculation:
Formation energy in kJ/mol of atoms: -47.1
DFT total energy in eV per cell: -159.5

=====

[3]
The following is a GGA-PBE calculation of a relaxed Li3PPd8 crystal, from Alexandria via LeMat-Bulk.

a = 5.6752 Å, b = 5.6752 Å, c = 6.9218 Å
α = 114.20°, β = 114.20°, γ = 90.00°
Fractional positions:
Li 0.7500 0.2500 0.5000
Li 0.5000 0.5000 0.0000
Li 0.2500 0.7500 0.5000
P 0.0000 0.0000 0.0000
Pd 0.3691 0.3691 0.2467
Pd 0.3691 0.8776 0.2467
Pd 0.1224 0.6309 0.7533
Pd 0.1224 0.1224 0.7533
Pd 0.8776 0.8776 0.2467
Pd 0.8776 0.3691 0.2467
Pd 0.6309 0.1224 0.7533
Pd 0.6309 0.6309 0.7533

Values from the calculation:
Formation energy in kJ/mol of atoms: -20.2
DFT total energy in eV per cell: -55.2

=====

[4]
The following is a GGA-PBE calculation of a relaxed LiPPd3 crystal, from Alexandria via LeMat-Bulk.

a = 4.9316 Å, b = 6.1656 Å, c = 6.1651 Å
α = 120.00°, β = 90.00°, γ = 90.00°
Fractional positions:
Li 0.7500 0.6667 0.3334
Li 0.2500 0.3333 0.6667
P 0.0000 0.0000 0.0000
P 0.5000 0.0000 0.0000
Pd 0.7500 0.6293 0.8147
Pd 0.2500 0.8146 0.6293
Pd 0.2500 0.3707 0.1853
Pd 0.7500 0.1854 0.3707
Pd 0.2500 0.8146 0.1853
Pd 0.7500 0.1854 0.8147

Values from the calculation:
Formation energy in kJ/mol of atoms: -28.8
E above lowest polymorph in kJ/mol of atoms: 18.5
DFT total energy in eV per cell: -48.8

=====

[5]
The following is a GGA-PBE calculation of a relaxed LiPPd3 crystal, from Alexandria via LeMat-Bulk.

a = 4.5010 Å, b = 4.5010 Å, c = 4.5010 Å
α = 90.00°, β = 90.00°, γ = 90.00°
Fractional positions:
P 0.0000 0.0000 0.0000
Pd 0.0000 0.5000 0.0000
Pd 0.0000 0.0000 0.5000
Pd 0.5000 0.0000 0.0000
Li 0.5000 0.5000 0.5000

Values from the calculation:
Formation energy in kJ/mol of atoms: -32.3
E above lowest polymorph in kJ/mol of atoms: 15.1
DFT total energy in eV per cell: -24.6

=====

[6]
The following is a GGA-PBE calculation of a relaxed Li2PPd7 crystal, from Alexandria via LeMat-Bulk.

a = 6.6339 Å, b = 6.6339 Å, c = 6.6339 Å
α = 60.00°, β = 60.00°, γ = 60.00°
Fractional positions:
Li 0.2500 0.2500 0.2500
Li 0.7500 0.7500 0.7500
P 0.0000 0.0000 0.0000
Pd 0.5000 0.5000 0.5000
Pd 0.2320 0.7680 0.7680
Pd 0.2320 0.7680 0.2320
Pd 0.7680 0.2320 0.7680
Pd 0.7680 0.7680 0.2320
Pd 0.2320 0.2320 0.7680
Pd 0.7680 0.2320 0.2320

Values from the calculation:
Formation energy in kJ/mol of atoms: 10.7
DFT total energy in eV per cell: -44.5